DFT (PBE with a Hubbard U) results for MnCr2Cd2O6 after structural relaxation.

Values from the calculation:
- electronic total energy (eV for the cell shown) = -70.7
- space-group type = C2/m (12)

```
MnCr2Cd2O6
1.0
5.423 -0.069 0.058
-2.740 4.680 0.058
-0.939 -1.615 5.349
Mn Cr Cd O
1 2 2 6
direct
0.000 0.000 0.500 Mn
0.336 0.664 0.500 Cr
0.664 0.336 0.500 Cr
0.837 0.163 0.000 Cd
0.163 0.837 0.000 Cd
0.726 0.726 0.703 O
0.054 0.422 0.704 O
0.274 0.274 0.297 O
0.422 0.054 0.704 O
0.946 0.578 0.296 O
0.578 0.946 0.296 O
```